Entry 1:
Compound: In2CoMo
Source: the Alexandria database
Functional: PBEsol
Structure: optimized geometry

Cell: 2.986 4.231 5.573 Å, 90.00 105.21 90.00°
Element x y z (fractional)
In (0.000, 0.000, 0.000)
In (0.335, 0.500, 0.676)
Co (0.729, 0.000, 0.445)
Mo (0.610, 0.500, 0.227)

Calculated values
- Calculated volume: 16.99 A^3/atom
- SG: Pm, No. 6
- Density: 9.4 g/cm3
- Crystal system: monoclinic
- Energy: -6.0148 eV per atom

---

Entry 2:
Compound: CrCo3Pb
Source: the Alexandria database
Functional: PBEsol
Structure: optimized geometry

Cell: 4.677 4.677 4.677 Å, 90.00 90.00 90.00°
Element x y z (fractional)
Cr (0.000, 0.000, 0.000)
Co (0.000, 0.500, 0.500)
Co (0.500, 0.000, 0.500)
Co (0.500, 0.500, 0.000)
Pb (0.500, 0.500, 0.500)

Calculated values
- Calculated volume: 20.46 A^3/atom
- SG: Pm-3m, No. 221
- Density: 7.1 g/cm3
- Crystal system: cubic
- Energy: -5.4511 eV per atom

---

Entry 3:
Compound: KZrS3
Source: the Alexandria database
Functional: PBEsol
Structure: optimized geometry

Cell: 4.936 4.936 4.936 Å, 90.00 90.00 90.00°
Element x y z (fractional)
K (0.000, 0.000, 0.000)
Zr (0.500, 0.500, 0.500)
S (0.000, 0.000, 0.500)
S (0.000, 0.500, 0.000)
S (0.500, 0.000, 0.000)

Calculated values
- Calculated volume: 24.05 A^3/atom
- SG: Pm-3m, No. 221
- Density: 3.1 g/cm3
- Crystal system: cubic
- Energy: -3.7294 eV per atom

---

Entry 4:
Compound: TcBi2Pt
Source: the Alexandria database
Functional: PBEsol
Structure: optimized geometry

Cell: 4.857 4.857 4.857 Å, 60.00 60.00 60.00°
Element x y z (fractional)
Tc (0.000, 0.000, 0.000)
Bi (0.250, 0.250, 0.250)
Bi (0.750, 0.750, 0.750)
Pt (0.500, 0.500, 0.500)

Calculated values
- Calculated volume: 20.26 A^3/atom
- SG: Fm-3m, No. 225
- Density: 14.6 g/cm3
- Crystal system: cubic
- Energy: -6.2286 eV per atom

---

Entry 5:
Compound: TaSi2Br
Source: the Alexandria database
Functional: PBEsol
Structure: optimized geometry

Cell: 7.023 7.023 7.023 Å, 128.03 128.03 76.58°
Element x y z (fractional)
Ta (0.000, 0.000, 0.000)
Ta (0.750, 0.250, 0.500)
Si (0.092, 0.625, 0.967)
Si (0.375, 0.342, 0.467)
Si (0.658, 0.125, 0.033)
Si (0.875, 0.908, 0.533)
Br (0.250, 0.750, 0.500)
Br (0.500, 0.500, 0.000)

Calculated values
- Calculated volume: 26.10 A^3/atom
- SG: I-42d, No. 122
- Density: 5.0 g/cm3
- Crystal system: tetragonal
- Excess energy over the best structure of this formula in the dataset: 967 meV/atom

---

Entry 6:
Compound: BaZnRh2
Source: the Alexandria database
Functional: PBEsol
Structure: optimized geometry

Cell: 3.238 3.238 6.972 Å, 90.00 90.00 90.00°
Element x y z (fractional)
Ba (0.000, 0.000, 0.000)
Zn (0.000, 0.000, 0.500)
Rh (0.500, 0.500, 0.313)
Rh (0.500, 0.500, 0.687)

Calculated values
- Calculated volume: 18.28 A^3/atom
- SG: P4/mmm, No. 123
- Density: 9.3 g/cm3
- Crystal system: tetragonal
- Energy: -4.9203 eV per atom